Record 1
{
  "formula": "CsOs",
  "functional": "PBE",
  "state": "relaxed",
  "lattice_angstrom": [[-3.634, -8.127, -2.385], [6.267, -2.299, -1.715], [1.397, -3.501, 9.800]],
  "species": ["Os", "Cs", "Cs", "Cs", "Os", "Cs", "Os", "Os", "Cs", "Os", "Os", "Cs", "Cs", "Cs", "Os", "Os"],
  "fractional_positions": [[0.390, 0.581, 0.500], [0.905, 0.250, 0.279], [0.099, 0.750, 0.277], [0.401, 0.250, 0.777], [0.390, 0.919, 0.500], [0.405, 0.250, 0.221], [0.110, 0.081, 0.000], [0.110, 0.419, 0.000], [0.901, 0.250, 0.723], [0.890, 0.919, 0.000], [0.610, 0.081, 0.500], [0.095, 0.750, 0.721], [0.595, 0.750, 0.779], [0.599, 0.750, 0.223], [0.610, 0.419, 0.500], [0.890, 0.581, 0.000]],
  "n_ef_per_ev_atom": 1.48,
  "final_energy_ev_per_atom": -4.73,
  "formation_energy_mev_per_atom": 1308.5,
  "space_group": "Pnma (62)",
  "rho_g_cm3": 6.44
}

=====

Record 2
{
  "formula": "CsOs",
  "functional": "PBE",
  "state": "relaxed",
  "lattice_angstrom": [[-3.140, -5.183, -2.067], [10.759, -8.658, 5.365], [-4.856, -0.573, 8.814]],
  "species": ["Cs", "Os", "Cs", "Cs", "Cs", "Cs", "Os", "Cs", "Os", "Cs", "Cs", "Os", "Os", "Os", "Os", "Os", "Cs", "Cs", "Cs", "Os", "Os", "Cs", "Os", "Os", "Cs", "Os", "Cs", "Cs", "Cs", "Os", "Os", "Os"],
  "fractional_positions": [[0.250, 0.750, 0.915], [0.250, 0.674, 0.250], [0.000, 0.000, 0.665], [0.750, 0.750, 0.415], [0.250, 0.750, 0.585], [0.750, 0.250, 0.585], [0.500, 0.076, 0.500], [0.000, 0.500, 0.835], [0.000, 0.576, 0.500], [0.250, 0.250, 0.085], [0.500, 0.000, 0.835], [0.500, 0.424, 0.000], [0.750, 0.326, 0.250], [0.250, 0.326, 0.750], [0.000, 0.076, 0.000], [0.250, 0.174, 0.750], [0.750, 0.250, 0.915], [0.500, 0.500, 0.665], [0.500, 0.500, 0.335], [0.750, 0.174, 0.250], [0.500, 0.576, 0.000], [0.000, 0.500, 0.165], [0.250, 0.826, 0.250], [0.000, 0.424, 0.500], [0.500, 0.000, 0.165], [0.500, 0.924, 0.500], [0.750, 0.750, 0.085], [0.000, 0.000, 0.335], [0.250, 0.250, 0.415], [0.750, 0.826, 0.750], [0.000, 0.924, 0.000], [0.750, 0.674, 0.750]],
  "n_ef_per_ev_atom": 1.19,
  "final_energy_ev_per_atom": -4.38,
  "formation_energy_mev_per_atom": 1664.1,
  "space_group": "Fddd (70)",
  "rho_g_cm3": 8.98
}

=====

Record 3
{
  "formula": "CsOs",
  "functional": "PBE",
  "state": "relaxed",
  "lattice_angstrom": [[-0.413, -2.955, 2.791], [5.816, 0.733, 1.636], [-3.202, 7.872, 7.859]],
  "species": ["Os", "Cs", "Cs", "Cs", "Os", "Os", "Cs", "Os"],
  "fractional_positions": [[0.500, 0.750, 0.702], [0.000, 0.750, 0.397], [0.000, 0.250, 0.603], [0.500, 0.750, 0.103], [0.500, 0.250, 0.298], [0.000, 0.250, 0.202], [0.500, 0.250, 0.897], [0.000, 0.750, 0.798]],
  "n_ef_per_ev_atom": 0.55,
  "final_energy_ev_per_atom": -4.91,
  "formation_energy_mev_per_atom": 1132.1,
  "space_group": "Imma (74)",
  "rho_g_cm3": 7.46
}

=====

Record 4
{
  "formula": "CsOs",
  "functional": "PBE",
  "state": "relaxed",
  "lattice_angstrom": [[10.225, 0.000, 0.000], [0.000, 10.225, 0.000], [0.000, 0.000, 10.225]],
  "species": ["Cs", "Cs", "Os", "Cs", "Os", "Os", "Cs", "Cs", "Os", "Cs", "Os", "Os"],
  "fractional_positions": [[0.500, 0.000, 0.250], [0.000, 0.250, 0.500], [0.750, 0.000, 0.500], [0.250, 0.500, 0.000], [0.250, 0.000, 0.500], [0.500, 0.250, 0.000], [0.750, 0.500, 0.000], [0.500, 0.000, 0.750], [0.000, 0.500, 0.750], [0.000, 0.750, 0.500], [0.000, 0.500, 0.250], [0.500, 0.750, 0.000]],
  "n_ef_per_ev_atom": 0.55,
  "final_energy_ev_per_atom": -3.00,
  "formation_energy_mev_per_atom": 3040.0,
  "space_group": "Pm-3n (223)",
  "rho_g_cm3": 3.01
}

=====

Record 5
{
  "formula": "CsP2Os",
  "functional": "PBE",
  "state": "relaxed",
  "lattice_angstrom": [[4.316, -1.992, 0.255], [0.581, -4.579, -1.167], [2.324, -1.163, -3.989]],
  "species": ["P", "P", "Cs", "Os"],
  "fractional_positions": [[0.750, 0.750, 0.750], [0.250, 0.250, 0.250], [0.000, 0.000, 0.000], [0.500, 0.500, 0.500]],
  "n_ef_per_ev_atom": 0.44,
  "final_energy_ev_per_atom": -4.42,
  "formation_energy_mev_per_atom": 1302.5,
  "space_group": "Fm-3m (225)",
  "rho_g_cm3": 8.38
}

=====

Record 6
{
  "formula": "CsP2Os",
  "functional": "PBE",
  "state": "relaxed",
  "lattice_angstrom": [[-2.340, -5.306, -4.035], [-0.421, -4.150, 5.701], [-6.084, -3.223, 1.582]],
  "species": ["P", "P", "Os", "P", "Os", "Cs", "Cs", "P"],
  "fractional_positions": [[0.875, 0.060, 0.750], [0.375, 0.190, 0.750], [0.000, 0.000, 0.000], [0.810, 0.125, 0.250], [0.750, 0.250, 0.500], [0.500, 0.500, 0.000], [0.250, 0.750, 0.500], [0.940, 0.625, 0.250]],
  "n_ef_per_ev_atom": 0.50,
  "final_energy_ev_per_atom": -5.94,
  "formation_energy_mev_per_atom": -211.6,
  "space_group": "I-42d (122)",
  "rho_g_cm3": 5.13
}

=====

Record 7
{
  "formula": "CsP3Os",
  "functional": "PBE",
  "state": "relaxed",
  "lattice_angstrom": [[4.805, 0.000, 0.000], [0.000, 4.805, 0.000], [0.000, 0.000, 4.805]],
  "species": ["P", "Cs", "P", "Os", "P"],
  "fractional_positions": [[0.500, 0.000, 0.000], [0.500, 0.500, 0.500], [0.000, 0.000, 0.500], [0.000, 0.000, 0.000], [0.000, 0.500, 0.000]],
  "n_ef_per_ev_atom": 1.32,
  "final_energy_ev_per_atom": -5.16,
  "formation_energy_mev_per_atom": 506.8,
  "space_group": "Pm-3m (221)",
  "rho_g_cm3": 6.23
}

=====

Record 8
{
  "formula": "Cs2POs",
  "functional": "PBE",
  "state": "relaxed",
  "lattice_angstrom": [[8.141, 1.440, -4.937], [-5.660, 0.960, 7.730], [2.334, -9.079, 2.199]],
  "species": ["P", "Cs", "Os", "Cs", "Os", "P", "Cs", "Cs"],
  "fractional_positions": [[0.500, 0.500, 0.000], [0.692, 0.875, 0.317], [0.250, 0.750, 0.500], [0.625, 0.308, 0.183], [0.000, 0.000, 0.000], [0.750, 0.250, 0.500], [0.125, 0.442, 0.817], [0.558, 0.375, 0.683]],
  "n_ef_per_ev_atom": 0.48,
  "final_energy_ev_per_atom": -4.25,
  "formation_energy_mev_per_atom": 339.1,
  "space_group": "I-42d (122)",
  "rho_g_cm3": 4.15
}

=====

Record 9
{
  "formula": "CsP3Os",
  "functional": "PBE",
  "state": "relaxed",
  "lattice_angstrom": [[-0.357, -5.097, 0.217], [3.298, -0.064, 3.908], [-3.893, 0.413, 3.291]],
  "species": ["Cs", "P", "Os", "P", "P"],
  "fractional_positions": [[0.000, 0.000, 0.000], [0.000, 0.000, 0.500], [0.500, 0.500, 0.500], [0.000, 0.500, 0.000], [0.500, 0.000, 0.000]],
  "n_ef_per_ev_atom": 1.31,
  "final_energy_ev_per_atom": -2.38,
  "formation_energy_mev_per_atom": 3277.8,
  "space_group": "Pm-3m (221)",
  "rho_g_cm3": 5.16
}

=====

Record 10
{
  "formula": "CsPOsPd2",
  "functional": "PBE",
  "state": "relaxed",
  "lattice_angstrom": [[-3.988, 0.118, -2.141], [-2.531, -3.673, 4.510], [-1.156, 3.690, 2.357]],
  "species": ["P", "Pd", "Pd", "Cs", "Os"],
  "fractional_positions": [[0.000, 0.000, 0.000], [0.000, 0.000, 0.500], [0.500, 0.000, 0.000], [0.000, 0.500, 0.000], [0.500, 0.500, 0.500]],
  "n_ef_per_ev_atom": 1.36,
  "final_energy_ev_per_atom": -4.22,
  "formation_energy_mev_per_atom": 1352.6,
  "space_group": "P4/mmm (123)",
  "rho_g_cm3": 7.24
}

=====

Record 11
{
  "formula": "CsP2OsPt",
  "functional": "PBE",
  "state": "relaxed",
  "lattice_angstrom": [[-0.059, -2.993, 3.290], [5.652, -3.324, -2.923], [2.742, 2.566, 2.384]],
  "species": ["Os", "P", "Pt", "P", "Cs"],
  "fractional_positions": [[0.000, 0.000, 0.000], [0.000, 0.000, 0.500], [0.500, 0.500, 0.500], [0.500, 0.000, 0.000], [0.000, 0.500, 0.000]],
  "n_ef_per_ev_atom": 0.87,
  "final_energy_ev_per_atom": -4.91,
  "formation_energy_mev_per_atom": 883.4,
  "space_group": "P4/mmm (123)",
  "rho_g_cm3": 6.78
}

=====

Record 12
{
  "formula": "CsRb2POs",
  "functional": "PBE",
  "state": "relaxed",
  "lattice_angstrom": [[-3.548, -2.536, 5.588], [4.395, -3.071, 1.397], [2.458, 5.327, 3.977]],
  "species": ["Rb", "Rb", "P", "Cs", "Os"],
  "fractional_positions": [[0.500, 0.000, 0.000], [0.000, 0.000, 0.500], [0.000, 0.500, 0.000], [0.000, 0.000, 0.000], [0.500, 0.500, 0.500]],
  "n_ef_per_ev_atom": 0.20,
  "final_energy_ev_per_atom": -2.17,
  "formation_energy_mev_per_atom": 1716.3,
  "space_group": "P4/mmm (123)",
  "rho_g_cm3": 3.13
}

=====

Record 13
{
  "formula": "Cs2RbPOs",
  "functional": "PBE",
  "state": "relaxed",
  "lattice_angstrom": [[-6.073, -0.135, -3.893], [-0.171, -5.481, 0.458], [-3.889, 0.626, 6.045]],
  "species": ["Cs", "P", "Os", "Rb", "Cs"],
  "fractional_positions": [[0.000, 0.000, 0.500], [0.000, 0.500, 0.000], [0.500, 0.500, 0.500], [0.000, 0.000, 0.000], [0.500, 0.000, 0.000]],
  "n_ef_per_ev_atom": 1.57,
  "final_energy_ev_per_atom": -2.25,
  "formation_energy_mev_per_atom": 1612.6,
  "space_group": "P4/mmm (123)",
  "rho_g_cm3": 3.32
}

=====

Record 14
{
  "formula": "CsTlPOs",
  "functional": "PBE",
  "state": "relaxed",
  "lattice_angstrom": [[-1.666, 1.817, 3.353], [0.213, -3.609, 2.062], [13.062, 3.419, 4.637]],
  "species": ["Os", "P", "Tl", "Cs", "Cs", "P", "Tl", "Os"],
  "fractional_positions": [[0.250, 0.750, 0.000], [0.750, 0.750, 0.921], [0.750, 0.250, 0.500], [0.750, 0.750, 0.229], [0.250, 0.250, 0.771], [0.250, 0.250, 0.079], [0.250, 0.750, 0.500], [0.750, 0.250, 0.000]],
  "n_ef_per_ev_atom": 0.87,
  "final_energy_ev_per_atom": -5.17,
  "formation_energy_mev_per_atom": -204.4,
  "space_group": "P4/nmm (129)",
  "rho_g_cm3": 7.50
}

=====

Record 15
{
  "formula": "CsTlP2Os",
  "functional": "PBE",
  "state": "relaxed",
  "lattice_angstrom": [[-1.100, 0.767, -4.464], [-3.500, -5.502, -0.083], [-3.776, 2.382, 1.340]],
  "species": ["P", "Cs", "Tl", "Os", "P"],
  "fractional_positions": [[0.000, 0.000, 0.500], [0.000, 0.500, 0.000], [0.500, 0.500, 0.500], [0.000, 0.000, 0.000], [0.500, 0.000, 0.000]],
  "n_ef_per_ev_atom": 0.75,
  "final_energy_ev_per_atom": -4.50,
  "formation_energy_mev_per_atom": 558.5,
  "space_group": "P4/mmm (123)",
  "rho_g_cm3": 6.91
}

=====

Record 16
{
  "formula": "CsOs2Pb",
  "functional": "PBE",
  "state": "relaxed",
  "lattice_angstrom": [[2.896, -3.472, 1.969], [-1.073, -4.768, -0.655], [2.837, -2.788, -2.915]],
  "species": ["Pb", "Os", "Os", "Cs"],
  "fractional_positions": [[0.500, 0.500, 0.500], [0.250, 0.250, 0.250], [0.750, 0.750, 0.750], [0.000, 0.000, 0.000]],
  "n_ef_per_ev_atom": 1.55,
  "final_energy_ev_per_atom": -4.62,
  "formation_energy_mev_per_atom": 2132.7,
  "space_group": "Fm-3m (225)",
  "rho_g_cm3": 14.11
}

=====

Record 17
{
  "formula": "CsOs3Pd",
  "functional": "PBE",
  "state": "relaxed",
  "lattice_angstrom": [[5.011, 0.000, 0.000], [0.000, 5.011, 0.000], [0.000, 0.000, 5.011]],
  "species": ["Os", "Os", "Pd", "Os", "Cs"],
  "fractional_positions": [[0.000, 0.500, 0.000], [0.500, 0.000, 0.000], [0.000, 0.000, 0.000], [0.000, 0.000, 0.500], [0.500, 0.500, 0.500]],
  "n_ef_per_ev_atom": 1.35,
  "final_energy_ev_per_atom": -5.31,
  "formation_energy_mev_per_atom": 2635.2,
  "space_group": "Pm-3m (221)",
  "rho_g_cm3": 10.69
}

=====

Record 18
{
  "formula": "CsOs3Pd",
  "functional": "PBE",
  "state": "relaxed",
  "lattice_angstrom": [[4.898, 0.000, 0.000], [0.000, 4.898, 0.000], [0.000, 0.000, 4.898]],
  "species": ["Pd", "Os", "Os", "Os", "Cs"],
  "fractional_positions": [[0.500, 0.500, 0.500], [0.500, 0.000, 0.000], [0.000, 0.000, 0.500], [0.000, 0.500, 0.000], [0.000, 0.000, 0.000]],
  "n_ef_per_ev_atom": 0.83,
  "final_energy_ev_per_atom": -3.96,
  "formation_energy_mev_per_atom": 3985.3,
  "space_group": "Pm-3m (221)",
  "rho_g_cm3": 11.45
}

=====

Record 19
{
  "formula": "CsOsPd3",
  "functional": "PBE",
  "state": "relaxed",
  "lattice_angstrom": [[5.150, 0.000, 0.000], [0.000, 5.150, 0.000], [0.000, 0.000, 5.150]],
  "species": ["Pd", "Pd", "Os", "Cs", "Pd"],
  "fractional_positions": [[0.000, 0.500, 0.000], [0.000, 0.000, 0.500], [0.500, 0.500, 0.500], [0.000, 0.000, 0.000], [0.500, 0.000, 0.000]],
  "n_ef_per_ev_atom": 0.86,
  "final_energy_ev_per_atom": -3.11,
  "formation_energy_mev_per_atom": 2420.5,
  "space_group": "Pm-3m (221)",
  "rho_g_cm3": 7.81
}

=====

Record 20
{
  "formula": "Cs2OsPd2",
  "functional": "PBE",
  "state": "relaxed",
  "lattice_angstrom": [[-3.075, -5.983, -0.475], [0.430, -0.752, 6.688], [-5.303, 2.674, 0.642]],
  "species": ["Pd", "Os", "Cs", "Cs", "Pd", "Pd", "Pd", "Os", "Cs", "Cs"],
  "fractional_positions": [[0.353, 0.853, 0.000], [0.500, 0.500, 0.000], [0.184, 0.684, 0.500], [0.316, 0.184, 0.500], [0.853, 0.647, 0.000], [0.647, 0.147, 0.000], [0.147, 0.353, 0.000], [0.000, 0.000, 0.000], [0.816, 0.316, 0.500], [0.684, 0.816, 0.500]],
  "n_ef_per_ev_atom": 1.38,
  "final_energy_ev_per_atom": -3.89,
  "formation_energy_mev_per_atom": 779.0,
  "space_group": "P4/mbm (127)",
  "rho_g_cm3": 8.18
}